DFT (PBE) results for a relaxed LaAgO2 crystal.

Cell: 4.311 4.311 4.311 Å, 60.00 60.00 60.00°
Fractional coordinates of all 4 atoms:
O 0.250 0.250 0.250
O 0.750 0.750 0.750
Ag 0.000 0.000 0.000
La 0.500 0.500 0.500

raw total energy	-6.265	eV per atom
energy relative to the elements, uncorrected	-1.84	eV per atom
SG	Fm-3m (225)
density	8.17	Mg/m³